# 1
Here is an optimized crystal structure of TaZnPt from Alexandria via LeMat-Bulk. Energies are from PBE-GGA.

The structure in POSCAR format:
```
TaZnPt
1.0
-1.413 2.047 4.108
1.413 -2.047 4.108
1.413 2.047 -4.108
Ta Zn Pt
1 1 1
Direct
0.000 0.000 0.000
0.665 0.665 0.000
0.330 0.330 0.000
```

Results
Space-group type: No. 44
Total moment, μB per atom: 0.00
Formation enthalpy at 0 K, eV/atom: -0.3406
D(E_F), states/eV/cell: 1.72



# 2
Here is an optimized crystal structure of TaZn2Pt from Alexandria via LeMat-Bulk. Energies are from PBE-GGA.

The structure in POSCAR format:
```
TaZn2Pt
1.0
2.881 0.000 0.000
0.000 2.881 0.000
0.000 0.000 7.443
Ta Zn Pt
1 2 1
Direct
0.000 0.000 0.000
0.000 0.000 0.494
0.500 0.500 0.258
0.500 0.500 0.736
```

Results
E above lowest polymorph, meV per atom: 0.0
Space-group type: No. 99
Total moment, μB per atom: 0.00
Formation enthalpy at 0 K, eV/atom: -0.3250
D(E_F), states/eV/cell: 0.56



# 3
Here is an optimized crystal structure of TaZnPt from Alexandria via LeMat-Bulk. Energies are from PBE-GGA.

The structure in POSCAR format:
```
TaZnPt
1.0
0.000 3.061 3.061
3.061 0.000 3.061
3.061 3.061 0.000
Ta Zn Pt
1 1 1
Direct
0.000 0.000 0.000
0.750 0.750 0.750
0.250 0.250 0.250
```

Results
Space-group type: No. 216
Total moment, μB per atom: 0.00
Formation enthalpy at 0 K, eV/atom: 0.1271
D(E_F), states/eV/cell: 3.40



# 4
Here is an optimized crystal structure of TaZn2Pt from Alexandria via LeMat-Bulk. Energies are from PBE-GGA.

The structure in POSCAR format:
```
TaZn2Pt
1.0
2.846 0.000 0.000
0.000 3.830 0.000
0.000 0.000 5.778
Ta Zn Pt
1 2 1
Direct
0.000 0.000 0.000
0.000 0.000 0.498
0.500 0.500 0.278
0.500 0.500 0.767
```

Results
E above lowest polymorph, meV per atom: 60.0
Space-group type: No. 25
Total moment, μB per atom: 0.00
Formation enthalpy at 0 K, eV/atom: -0.2651
D(E_F), states/eV/cell: 1.85



# 5
Here is an optimized crystal structure of ZrTa3Pt from Alexandria via LeMat-Bulk. Energies are from PBE-GGA.

The structure in POSCAR format:
```
ZrTa3Pt
1.0
4.893 0.000 0.000
0.000 4.893 0.000
0.000 0.000 4.893
Zr Ta Pt
1 3 1
Direct
0.000 0.000 0.000
0.000 0.500 0.500
0.500 0.000 0.500
0.500 0.500 0.000
0.500 0.500 0.500
```

Results
E above lowest polymorph, meV per atom: 0.0
Space-group type: No. 221
Total moment, μB per atom: 0.00
Formation enthalpy at 0 K, eV/atom: 0.9936
D(E_F), states/eV/cell: 8.58



# 6
Here is an optimized crystal structure of ZrTa2Pt2 from Alexandria via LeMat-Bulk. Energies are from PBE-GGA.

The structure in POSCAR format:
```
ZrTa2Pt2
1.0
-2.002 2.002 6.079
2.002 -2.002 6.079
2.002 2.002 -6.079
Zr Ta Pt
1 2 2
Direct
0.000 0.000 0.000
0.250 0.750 0.500
0.750 0.250 0.500
0.396 0.396 0.000
0.604 0.604 0.000
```

Results
E above lowest polymorph, meV per atom: 101.2
Space-group type: No. 139
Total moment, μB per atom: 0.00
Formation enthalpy at 0 K, eV/atom: -0.3748
D(E_F), states/eV/cell: 6.64



# 7
Here is an optimized crystal structure of Zr2TaPt from Alexandria via LeMat-Bulk. Energies are from PBE-GGA.

The structure in POSCAR format:
```
Zr2TaPt
1.0
0.000 3.347 3.347
3.347 0.000 3.347
3.347 3.347 0.000
Zr Ta Pt
2 1 1
Direct
0.000 0.000 0.000
0.250 0.250 0.250
0.750 0.750 0.750
0.500 0.500 0.500
```

Results
Space-group type: No. 216
Total moment, μB per atom: 0.00
Formation enthalpy at 0 K, eV/atom: -0.3031
D(E_F), states/eV/cell: 2.66



# 8
Here is an optimized crystal structure of Zr2TaPt from Alexandria via LeMat-Bulk. Energies are from PBE-GGA.

The structure in POSCAR format:
```
Zr2TaPt
1.0
3.376 0.000 0.000
0.000 3.376 0.000
0.000 0.000 6.845
Zr Ta Pt
2 1 1
Direct
0.000 0.000 0.245
0.000 0.000 0.755
0.500 0.500 0.500
0.500 0.500 0.000
```

Results
Space-group type: No. 123
Total moment, μB per atom: 0.00
Formation enthalpy at 0 K, eV/atom: -0.4959
D(E_F), states/eV/cell: 3.05



Number 1: electronic total energy -20.189 eV for the cell shown. Number 2: electronic total energy -21.741 eV for the cell shown. Number 3: electronic total energy -18.786 eV for the cell shown. Number 4: electronic total energy -21.502 eV for the cell shown. Number 5: electronic total energy -45.179 eV for the cell shown. Number 6: electronic total energy -46.209 eV for the cell shown. Number 7: electronic total energy -36.202 eV for the cell shown. Number 8: electronic total energy -36.973 eV for the cell shown.